Entry 1:
# PBE Tb5Te2Ir, relaxed
# - Formation energy from raw total energies: -0.915 eV/atom
# - Crystal system: orthorhombic
data_Tb5Te2Ir
_chemical_formula_sum 'Tb10 Te4 Ir2'
_cell_length_a 8.236
_cell_length_b 13.163
_cell_length_c 4.148
_cell_angle_alpha 90.00
_cell_angle_beta 90.00
_cell_angle_gamma 90.00
_symmetry_space_group_name_H-M 'P b a m'
_symmetry_Int_Tables_number 55
loop_
_symmetry_equiv_pos_as_xyz
'x,y,z'
'-x,-y,-z'
'-x,-y,z'
'x,y,-z'
'x+1/2,-y+1/2,-z'
'-x+1/2,y+1/2,z'
'-x+1/2,y+1/2,-z'
'x+1/2,-y+1/2,z'
loop_
_atom_site_label
_atom_site_type_symbol
_atom_site_fract_x
_atom_site_fract_y
_atom_site_fract_z
Tb1 Tb 0.000 0.000 0.000
Tb2 Tb 0.163 0.315 0.000
Tb3 Tb 0.171 0.584 0.500
Te1 Te 0.041 0.822 0.500
Ir1 Ir 0.000 0.500 0.000

***

Entry 2:
# PBE LaSn2Pd6, relaxed
# - Formation energy: -0.5407 eV per atom
# - Crystal system: hexagonal
data_LaSn2Pd6
_chemical_formula_sum 'La1 Sn2 Pd6'
_cell_length_a 5.6247
_cell_length_b 5.6247
_cell_length_c 7.0606
_cell_angle_alpha 90.00
_cell_angle_beta 90.00
_cell_angle_gamma 120.00
_symmetry_space_group_name_H-M 'P 6/m m m'
_symmetry_Int_Tables_number 191
_symmetry_space_group_name_Hall '-P 6 2'
loop_
_atom_site_label
_atom_site_type_symbol
_atom_site_fract_x
_atom_site_fract_y
_atom_site_fract_z
La1 La 0.0000 0.0000 0.0000
Sn1 Sn 0.3333 0.6667 0.5000
Pd1 Pd 0.0000 0.5000 0.1943

***

Entry 3:
# PBE PuPAu, relaxed
# - Formation energy: -0.6676 eV per atom
# - Crystal system: monoclinic
data_PuPAu
_chemical_formula_sum 'Pu4 P4 Au4'
_cell_length_a 11.130
_cell_length_b 4.179
_cell_length_c 5.374
_cell_angle_alpha 90.00
_cell_angle_beta 90.14
_cell_angle_gamma 90.00
_symmetry_space_group_name_H-M 'C 1 2/m 1'
_symmetry_Int_Tables_number 12
loop_
_symmetry_equiv_pos_as_xyz
'x,y,z'
'-x,-y,-z'
'-x,y,-z'
'x,-y,z'
'x+1/2,y+1/2,z'
'-x+1/2,-y+1/2,-z'
'-x+1/2,y+1/2,-z'
'x+1/2,-y+1/2,z'
loop_
_atom_site_label
_atom_site_type_symbol
_atom_site_fract_x
_atom_site_fract_y
_atom_site_fract_z
Pu1 Pu 0.141 0.000 0.250
P1 P 0.188 0.000 0.750
Au1 Au 0.060 0.500 0.751

***

Entry 4:
# PBE AlTlCu2Cl8, relaxed
# - Formation energy from raw total energies: -0.828 eV/atom
# - Crystal system: trigonal
data_AlTlCu2Cl8
_chemical_formula_sum 'Al1 Tl1 Cu2 Cl8'
_cell_length_a 6.2775
_cell_length_b 6.2775
_cell_length_c 8.8823
_cell_angle_alpha 90.00
_cell_angle_beta 90.00
_cell_angle_gamma 120.00
_symmetry_space_group_name_H-M 'P -3'
_symmetry_Int_Tables_number 147
loop_
_symmetry_equiv_pos_as_xyz
'x,y,z'
'-x,-y,-z'
'-y,x-y,z'
'y,-x+y,-z'
'-x+y,-x,z'
'x-y,x,-z'
loop_
_atom_site_label
_atom_site_type_symbol
_atom_site_fract_x
_atom_site_fract_y
_atom_site_fract_z
Al1 Al 0.0000 0.0000 0.0000
Tl1 Tl 0.0000 0.0000 0.5000
Cu1 Cu 0.3333 0.6667 0.2121
Cl1 Cl 0.0122 0.7034 0.8452
Cl2 Cl 0.3333 0.6667 0.4597

***

Entry 5:
# PBE MoPbSe2N, relaxed
# - Formation energy from raw total energies: 1.541 eV/atom
# - Crystal system: tetragonal
data_MoPbSe2N
_chemical_formula_sum 'Mo1 Pb1 Se2 N1'
_cell_length_a 5.485
_cell_length_b 5.485
_cell_length_c 4.175
_cell_angle_alpha 90.00
_cell_angle_beta 90.00
_cell_angle_gamma 90.00
_symmetry_space_group_name_H-M 'P 4/m m m'
_symmetry_Int_Tables_number 123
_symmetry_space_group_name_Hall '-P 4 2'
loop_
_atom_site_label
_atom_site_type_symbol
_atom_site_fract_x
_atom_site_fract_y
_atom_site_fract_z
Mo1 Mo 0.000 0.000 0.000
Pb1 Pb 0.500 0.500 0.500
Se1 Se 0.000 0.500 0.500
N1 N 0.500 0.500 0.000

***

Entry 6:
# PBE Tl2CoSi, relaxed
# - Formation energy from raw total energies: 0.722 eV/atom
# - Crystal system: monoclinic
data_Tl2CoSi
_chemical_formula_sum 'Tl2 Co1 Si1'
_cell_length_a 4.195
_cell_length_b 3.377
_cell_length_c 5.983
_cell_angle_alpha 90.00
_cell_angle_beta 104.42
_cell_angle_gamma 90.00
_symmetry_space_group_name_H-M 'P 1 2/m 1'
_symmetry_Int_Tables_number 10
loop_
_symmetry_equiv_pos_as_xyz
'x,y,z'
'-x,-y,-z'
'-x,y,-z'
'x,-y,z'
loop_
_atom_site_label
_atom_site_type_symbol
_atom_site_fract_x
_atom_site_fract_y
_atom_site_fract_z
Tl1 Tl 0.040 0.000 0.260
Co1 Co 0.500 0.500 0.500
Si1 Si 0.500 0.500 0.000

***

Entry 7:
# PBE SmDy3Y2Bi6, relaxed
# - Formation energy: -0.8824 eV per atom
# - Crystal system: monoclinic
data_SmDy3Y2Bi6
_chemical_formula_sum 'Sm2 Dy6 Y4 Bi12'
_cell_length_a 19.577
_cell_length_b 4.492
_cell_length_c 8.985
_cell_angle_alpha 90.00
_cell_angle_beta 103.21
_cell_angle_gamma 90.00
_symmetry_space_group_name_H-M 'C 1 2/m 1'
_symmetry_Int_Tables_number 12
loop_
_symmetry_equiv_pos_as_xyz
'x,y,z'
'-x,-y,-z'
'-x,y,-z'
'x,-y,z'
'x+1/2,y+1/2,z'
'-x+1/2,-y+1/2,-z'
'-x+1/2,y+1/2,-z'
'x+1/2,-y+1/2,z'
loop_
_atom_site_label
_atom_site_type_symbol
_atom_site_fract_x
_atom_site_fract_y
_atom_site_fract_z
Sm1 Sm 0.000 0.000 0.000
Dy1 Dy 0.000 0.000 0.500
Dy2 Dy 0.166 0.500 0.833
Y1 Y 0.167 0.500 0.333
Bi1 Bi 0.000 0.500 0.254
Bi2 Bi 0.166 0.000 0.583
Bi3 Bi 0.168 0.000 0.083

***

Entry 8:
# PBE LaRe4, relaxed
# - Formation energy: 0.6168 eV per atom
# - Crystal system: tetragonal
data_LaRe4
_chemical_formula_sum 'La2 Re8'
_cell_length_a 6.133
_cell_length_b 6.133
_cell_length_c 5.022
_cell_angle_alpha 90.00
_cell_angle_beta 90.00
_cell_angle_gamma 90.00
_symmetry_space_group_name_H-M 'I 4/m'
_symmetry_Int_Tables_number 87
_symmetry_space_group_name_Hall '-I 4'
loop_
_atom_site_label
_atom_site_type_symbol
_atom_site_fract_x
_atom_site_fract_y
_atom_site_fract_z
La1 La 0.000 0.000 0.000
Re1 Re 0.001 0.708 0.500

***

Entry 9:
# PBE MnPd3N, relaxed
# - Formation energy from raw total energies: 0.187 eV/atom
# - Crystal system: cubic
data_MnPd3N
_chemical_formula_sum 'Mn1 Pd3 N1'
_cell_length_a 4.155
_cell_length_b 4.155
_cell_length_c 4.155
_cell_angle_alpha 90.00
_cell_angle_beta 90.00
_cell_angle_gamma 90.00
_symmetry_space_group_name_H-M 'P m -3 m'
_symmetry_Int_Tables_number 221
_symmetry_space_group_name_Hall '-P 4 2 3'
loop_
_atom_site_label
_atom_site_type_symbol
_atom_site_fract_x
_atom_site_fract_y
_atom_site_fract_z
Mn1 Mn 0.000 0.000 0.000
Pd1 Pd 0.000 0.500 0.500
N1 N 0.500 0.500 0.500

***

Entry 10:
# PBE HgGeRh2, relaxed
# - Formation energy: -0.0660 eV per atom
# - Crystal system: cubic
data_HgGeRh2
_chemical_formula_sum 'Hg4 Ge4 Rh8'
_cell_length_a 6.355
_cell_length_b 6.355
_cell_length_c 6.355
_cell_angle_alpha 90.00
_cell_angle_beta 90.00
_cell_angle_gamma 90.00
_symmetry_space_group_name_H-M 'F m -3 m'
_symmetry_Int_Tables_number 225
_symmetry_space_group_name_Hall '-F 4 2 3'
loop_
_atom_site_label
_atom_site_type_symbol
_atom_site_fract_x
_atom_site_fract_y
_atom_site_fract_z
Hg1 Hg 0.000 0.000 0.000
Ge1 Ge 0.000 0.000 0.500
Rh1 Rh 0.250 0.250 0.250

***

Entry 11:
# PBE Ho2Ga9Ni6, relaxed
# - Formation energy: -0.3604 eV per atom
# - Crystal system: hexagonal
data_Ho2Ga9Ni6
_chemical_formula_sum 'Ho2 Ga9 Ni6'
_cell_length_a 5.2799
_cell_length_b 5.2799
_cell_length_c 11.7127
_cell_angle_alpha 90.00
_cell_angle_beta 90.00
_cell_angle_gamma 120.00
_symmetry_space_group_name_H-M 'P 6/m m m'
_symmetry_Int_Tables_number 191
_symmetry_space_group_name_Hall '-P 6 2'
loop_
_atom_site_label
_atom_site_type_symbol
_atom_site_fract_x
_atom_site_fract_y
_atom_site_fract_z
Ho1 Ho 0.0000 0.0000 0.1616
Ga1 Ga 0.0000 0.5000 0.0000
Ga2 Ga 0.0000 0.5000 0.3393
Ni1 Ni 0.3333 0.6667 0.1718
Ni2 Ni 0.3333 0.6667 0.5000

***

Entry 12:
# PBE Nd4SbPb2, relaxed
# - Formation energy from raw total energies: -0.540 eV/atom
# - Crystal system: monoclinic
data_Nd4SbPb2
_chemical_formula_sum 'Nd8 Sb2 Pb4'
_cell_length_a 6.293
_cell_length_b 6.689
_cell_length_c 10.724
_cell_angle_alpha 90.00
_cell_angle_beta 96.92
_cell_angle_gamma 90.00
_symmetry_space_group_name_H-M 'P 1 21/m 1'
_symmetry_Int_Tables_number 11
loop_
_symmetry_equiv_pos_as_xyz
'x,y,z'
'-x,-y,-z'
'-x,y+1/2,-z'
'x,-y+1/2,z'
loop_
_atom_site_label
_atom_site_type_symbol
_atom_site_fract_x
_atom_site_fract_y
_atom_site_fract_z
Nd1 Nd 0.063 0.250 0.143
Nd2 Nd 0.155 0.750 0.447
Nd3 Nd 0.403 0.012 0.732
Sb1 Sb 0.046 0.750 0.161
Pb1 Pb 0.296 0.250 0.448
Pb2 Pb 0.468 0.750 0.996

***

The evaluated spin magnetization for the records listed, in turn: 0.00, 0.00, 1.64, 0.17, 1.01, 0.26, 0.00, 0.00, 0.97, 0.00, 0.00, 0.00 μB per atom.